# 1
HgBiN2O | Alexandria via LeMat-Bulk | GGA-PBE | relaxed; mass density = 8.97 Mg/m³; formation energy (no corrections) = 1290 meV/atom; density of states at the Fermi level = 3.6 states/eV/f.u.
1.0
-1.380 -4.229 0.162
3.237 -0.945 2.906
-2.595 0.970 3.207
N Bi Hg O
2 1 1 1
direct
0.000 0.500 0.000 N
0.500 0.000 0.000 N
0.000 0.000 0.000 Bi
0.500 0.500 0.500 Hg
0.000 0.000 0.500 O


# 2
HgBiNO2 | Alexandria via LeMat-Bulk | GGA-PBE | relaxed; mass density = 9.57 Mg/m³; formation energy (no corrections) = 446 meV/atom; density of states at the Fermi level = 1.8 states/eV/f.u.
1.0
4.184 0.000 0.000
0.000 4.184 0.000
0.000 0.000 4.517
Bi N Hg O
1 1 1 2
direct
0.000 0.000 0.000 Bi
0.000 0.000 0.500 N
0.500 0.500 0.500 Hg
0.000 0.500 0.000 O
0.500 0.000 0.000 O


# 3
HgBiNO2 | Alexandria via LeMat-Bulk | GGA-PBE | relaxed; mass density = 10.12 Mg/m³; formation energy (no corrections) = 717 meV/atom; density of states at the Fermi level = 2.4 states/eV/f.u.
1.0
-2.393 -0.509 -3.399
3.432 -0.585 -2.328
-0.195 -4.189 0.765
N Hg Bi O
1 1 1 2
direct
0.000 0.000 0.500 N
0.000 0.000 0.000 Hg
0.500 0.500 0.500 Bi
0.500 0.000 0.000 O
0.000 0.500 0.000 O


# 4
HgBiN2O | Alexandria via LeMat-Bulk | GGA-PBE | relaxed; mass density = 10.10 Mg/m³; formation energy (no corrections) = 1477 meV/atom; density of states at the Fermi level = 3.2 states/eV/f.u.
1.0
4.201 0.000 0.000
0.000 4.201 0.000
0.000 0.000 4.226
Bi Hg O N
1 1 1 2
direct
0.500 0.500 0.500 Bi
0.000 0.000 0.000 Hg
0.000 0.000 0.500 O
0.000 0.500 0.000 N
0.500 0.000 0.000 N


# 5
PaHgBi2N | Alexandria via LeMat-Bulk | GGA-PBE | relaxed; mass density = 10.45 Mg/m³; formation energy (no corrections) = -614 meV/atom; density of states at the Fermi level = 2.8 states/eV/f.u.
1.0
3.924 0.000 0.000
0.000 3.924 0.000
0.000 0.000 17.826
Bi Pa N Hg
4 2 2 2
direct
0.000 0.500 0.055 Bi
0.500 0.000 0.945 Bi
0.000 0.500 0.677 Bi
0.500 0.000 0.323 Bi
0.000 0.500 0.434 Pa
0.500 0.000 0.566 Pa
0.500 0.500 0.500 N
0.000 0.000 0.500 N
0.500 0.000 0.155 Hg
0.000 0.500 0.845 Hg


# 6
Pr4HgBiN | Alexandria via LeMat-Bulk | GGA-PBE | relaxed; mass density = 8.03 Mg/m³; formation energy (no corrections) = -763 meV/atom; density of states at the Fermi level = 4.7 states/eV/f.u.
1.0
7.052 0.000 0.000
0.000 7.067 0.000
-3.526 0.000 8.188
Pr Hg N Bi
8 2 2 2
direct
0.592 0.250 0.184 Pr
0.408 0.750 0.816 Pr
0.083 0.750 0.166 Pr
0.500 0.000 0.500 Pr
0.000 0.000 0.500 Pr
0.000 0.500 0.500 Pr
0.917 0.250 0.834 Pr
0.500 0.500 0.500 Pr
0.116 0.250 0.231 Hg
0.884 0.750 0.769 Hg
0.755 0.250 0.510 N
0.245 0.750 0.490 N
0.394 0.250 0.787 Bi
0.606 0.750 0.213 Bi


Among the records above, which one has the highest mass density?
PaHgBi2N